(1)
This record from OQMD describes a geometry-optimized LiGa2Pt structure. The functional is PBE.

abc: 3.946 3.946 3.780
angles: 90.00 90.00 90.00
Space group P4/mmm (No. 123)
Inequivalent atoms, fractional coordinates:
Li  0.000  0.000  0.000
Ga  0.000  0.500  0.500
Pt  0.500  0.500  0.000

Properties
Magnetization: 0.002 μB/cell
E_tot: -16.00 eV/cell
E above lowest polymorph: 0.51 eV/f.u.

---

(2)
This record from OQMD describes a geometry-optimized LiGa2Pt structure. The functional is PBE.

abc: 4.350 4.350 6.177
angles: 90.00 90.00 90.00
Space group I4/mmm (No. 139)
Inequivalent atoms, fractional coordinates:
Li  0.000  0.000  0.000
Ga  0.000  0.500  0.250
Pt  0.000  0.000  0.500

Properties
Magnetization: 0.001 μB/cell
E_tot: -33.01 eV/cell
E above lowest polymorph: 0.00 eV/f.u.

---

(3)
This record from OQMD describes a geometry-optimized LiGa2Pt structure. The functional is PBE.

abc: 3.285 3.285 5.556
angles: 90.00 90.00 90.00
Space group P4/mmm (No. 123)
Inequivalent atoms, fractional coordinates:
Li  0.000  0.000  0.000
Ga  0.500  0.500  0.251
Pt  0.000  0.000  0.500

Properties
Magnetization: 0.003 μB/cell
E_tot: -15.92 eV/cell
E above lowest polymorph: 0.58 eV/f.u.

---

(4)
This record from OQMD describes a geometry-optimized LiScGa2Pt4 structure. The functional is PBE.

abc: 4.593 4.593 5.794
angles: 90.00 90.00 90.00
Space group P4/mmm (No. 123)
Inequivalent atoms, fractional coordinates:
Li  0.000  0.000  0.000
Sc  0.500  0.500  0.500
Ga  0.000  0.000  0.500
Ga  0.500  0.500  0.000
Pt  0.000  0.500  0.242

Properties
Magnetization: 0.002 μB/cell
E_tot: -45.24 eV/cell

---

Look up the E_tot of the second one.
-33.01 eV/cell